(1)
This record from the Alexandria database describes a geometry-optimized ErNiRh structure. The functional is GGA-PBE.

Values from the calculation:
ΔE_f: -1.684 eV/f.u.
crystal system: hexagonal

Lattice parameters (Å, degrees): 4.1205 4.1205 3.6844 90.00 90.00 120.00
With the nearest neighbours (Å) after each atom.
Space group P-6m2 (No. 187)
One atom of each set of equivalent atoms:
1 Er 0.0000 0.0000 0.0000 [1 per cell]  6 Rh 3.01, 6 Ni 3.01
2 Ni 0.3333 0.6667 0.5000 [1 per cell]  3 Rh 2.38
3 Rh 0.6667 0.3333 0.5000 [1 per cell]  3 Ni 2.38

(2)
This record from the Alexandria database describes a geometry-optimized CsZrP2S structure. The functional is GGA-PBE.

Values from the calculation:
excess energy over the best structure of this formula in the dataset: 2.1171 eV per atom
crystal system: tetragonal

Lattice parameters (Å, degrees): 5.3086 5.3086 5.0442 90.00 90.00 90.00
With the nearest neighbours (Å) after each atom.
Space group P4/mmm (No. 123)
One atom of each set of equivalent atoms:
1 Cs 0.0000 0.0000 0.0000 [1 per cell]  2 S 2.52, 4 P 2.65
2 Zr 0.5000 0.5000 0.5000 [1 per cell]  8 P 3.66, 4 S 3.75
3 P 0.0000 0.5000 0.0000 [2 per cell]  2 Cs 2.65
4 S 0.0000 0.0000 0.5000 [1 per cell]  2 Cs 2.52

(3)
This record from the Alexandria database describes a geometry-optimized Tb6Sm3Mg structure. The functional is GGA-PBE.

Values from the calculation:
excess energy over the best structure of this formula in the dataset: 0.0000 eV per atom
ΔE_f: 1.195 eV/f.u.
crystal system: orthorhombic

Lattice parameters (Å, degrees): 9.4811 14.7787 9.1206 90.00 90.00 90.00
With the nearest neighbours (Å) after each atom.
Space group Cmc2_1 (No. 36)
One atom of each set of equivalent atoms:
1 Tb 0.0000 0.0645 0.0000 [4 per cell]  1 Mg 3.29, 7 Tb 3.32-3.66
2 Tb 0.0000 0.2978 0.8666 [4 per cell]  1 Mg 3.32, 3 Tb 3.36-3.66, 3 Sm 3.40-3.55
3 Tb 0.1770 0.3461 0.4808 [8 per cell]  3 Sm 3.28-3.55, 1 Mg 3.31, 3 Tb 3.34-3.44
4 Tb 0.2126 0.0731 0.3155 [8 per cell]  3 Sm 3.30-3.56, 4 Tb 3.32-3.52, 1 Mg 3.32
5 Sm 0.0000 0.4673 0.1426 [4 per cell]  1 Mg 3.41, 2 Sm 3.49, 5 Tb 3.51-3.55
6 Sm 0.1760 0.1450 0.6554 [8 per cell]  5 Tb 3.28-3.56, 2 Sm 3.34-3.49, 1 Mg 3.55
7 Mg 0.0000 0.2414 0.2185 [4 per cell]  6 Tb 3.29-3.32, 3 Sm 3.41-3.55

(4)
This record from the Alexandria database describes a geometry-optimized CsNiRu structure. The functional is GGA-PBE.

Values from the calculation:
excess energy over the best structure of this formula in the dataset: 0.0347 eV per atom
ΔE_f: 1.785 eV/f.u.
crystal system: triclinic

Lattice parameters (Å, degrees): 3.6644 3.7682 12.4059 91.11 94.43 90.01
With the nearest neighbours (Å) after each atom.
Space group P1 (No. 1)
One atom of each set of equivalent atoms:
1 Cs 0.0000 0.0000 0.0000 [1 per cell]  2 Ni 3.35-3.65, 2 Ru 3.51-3.54, 2 Cs 3.66
2 Cs 0.4928 0.9793 0.3865 [1 per cell]  2 Ni 3.36-3.64, 2 Ru 3.50-3.55, 2 Cs 3.66
3 Ni 0.5171 0.9919 0.7598 [1 per cell]  2 Ni 2.46-2.47, 6 Ru 2.50-2.64
4 Ni 0.9831 0.9832 0.6267 [1 per cell]  2 Ni 2.46-2.47, 6 Ru 2.50-2.64
5 Ru 0.0199 0.4917 0.7602 [1 per cell]  2 Ru 2.46-2.48, 6 Ni 2.50-2.64
6 Ru 0.4807 0.4836 0.6264 [1 per cell]  2 Ru 2.46-2.48, 6 Ni 2.50-2.64

(5)
This record from the Alexandria database describes a geometry-optimized LiLuPa structure. The functional is GGA-PBE.

Values from the calculation:
ΔE_f: 1.281 eV/f.u.
crystal system: trigonal

Lattice parameters (Å, degrees): 5.2075 5.2075 3.1265 90.00 90.00 120.00
With the nearest neighbours (Å) after each atom.
Space group P3m1 (No. 156)
One atom of each set of equivalent atoms:
1 Li 0.0000 0.0000 0.0000 [1 per cell]  3 Lu 3.01, 2 Li 3.13, 3 Pa 3.31
2 Lu 0.3333 0.6667 0.0709 [1 per cell]  3 Li 3.01, 2 Lu 3.13, 3 Pa 3.37
3 Pa 0.6667 0.3333 0.5544 [1 per cell]  2 Pa 3.13, 6 Li 3.31-3.47, 6 Lu 3.37-3.41

(6)
This record from the Alexandria database describes a geometry-optimized PmNdMg2 structure. The functional is GGA-PBE.

Values from the calculation:
excess energy over the best structure of this formula in the dataset: 0.0037 eV per atom
ΔE_f: -0.446 eV/f.u.
crystal system: tetragonal

Lattice parameters (Å, degrees): 5.4782 5.4782 3.8815 90.00 90.00 90.00
With the nearest neighbours (Å) after each atom.
Space group P4/mmm (No. 123)
One atom of each set of equivalent atoms:
1 Pm 0.0000 0.0000 0.0000 [1 per cell]  8 Mg 3.36
2 Nd 0.5000 0.5000 0.0000 [1 per cell]  8 Mg 3.36
3 Mg 0.0000 0.5000 0.5000 [2 per cell]  4 Nd 3.36, 4 Pm 3.36

(7)
This record from the Alexandria database describes a geometry-optimized LaZnCd2Ni structure. The functional is GGA-PBE.

Values from the calculation:
ΔE_f: -0.697 eV/f.u.
crystal system: tetragonal

Lattice parameters (Å, degrees): 4.9521 4.9521 4.7007 90.00 90.00 90.00
With the nearest neighbours (Å) after each atom.
Space group P4/mmm (No. 123)
One atom of each set of equivalent atoms:
1 La 0.0000 0.0000 0.0000 [1 per cell]  8 Cd 3.41, 4 Zn 3.50
2 Zn 0.5000 0.5000 0.0000 [1 per cell]  2 Ni 2.35
3 Cd 0.0000 0.5000 0.5000 [2 per cell]  2 Ni 2.48
4 Ni 0.5000 0.5000 0.5000 [1 per cell]  2 Zn 2.35, 4 Cd 2.48

(8)
This record from the Alexandria database describes a geometry-optimized Tb12Er6Pu structure. The functional is GGA-PBE.

Values from the calculation:
ΔE_f: 0.597 eV/f.u.
crystal system: trigonal

Lattice parameters (Å, degrees): 15.4067 15.4067 8.6529 90.00 90.00 120.00
With the nearest neighbours (Å) after each atom.
Space group R-3 (No. 148, hexagonal axes)
One atom of each set of equivalent atoms:
1 Tb 0.0354 0.2805 0.3358 [18 per cell]  8 Tb 3.53-3.56, 4 Er 3.53-3.56
2 Tb 0.0723 0.5617 0.6668 [18 per cell]  1 Pu 3.50, 8 Tb 3.50-3.56, 3 Er 3.51-3.58
3 Er 0.0174 0.1389 0.6683 [18 per cell]  4 Er 3.50-3.54, 1 Pu 3.51, 7 Tb 3.51-3.58
4 Pu 0.0000 0.0000 0.0000 [3 per cell]  6 Tb 3.50, 6 Er 3.51

(9)
This record from the Alexandria database describes a geometry-optimized Cs3TaTc structure. The functional is GGA-PBE.

Values from the calculation:
excess energy over the best structure of this formula in the dataset: 0.0000 eV per atom
ΔE_f: 11.432 eV/f.u.
crystal system: cubic

Lattice parameters (Å, degrees): 6.8641 6.8641 6.8641 90.00 90.00 90.00
With the nearest neighbours (Å) after each atom.
Space group Pm-3m (No. 221)
One atom of each set of equivalent atoms:
1 Cs 0.0000 0.0000 0.5000 [3 per cell]  2 Ta 3.43
2 Ta 0.0000 0.0000 0.0000 [1 per cell]  6 Cs 3.43
3 Tc 0.5000 0.5000 0.5000 [1 per cell]  12 Cs 4.85

(10)
This record from the Alexandria database describes a geometry-optimized U2GaCo4Si3 structure. The functional is GGA-PBE.

Values from the calculation:
crystal system: tetragonal
DFT total energy: -7.556 eV per atom

Lattice parameters (Å, degrees): 3.8064 3.8064 10.0020 90.00 90.00 90.00
With the nearest neighbours (Å) after each atom.
Space group P-4m2 (No. 115)
One atom of each set of equivalent atoms:
1 U 0.0000 0.5000 0.2493 [2 per cell]  8 Co 2.87-3.14, 6 Si 2.97-3.15, 2 Ga 3.15
2 Ga 0.0000 0.0000 0.5000 [1 per cell]  4 Co 2.43, 4 Si 2.69
3 Co 0.0000 0.0000 0.0000 [1 per cell]  4 Si 2.27
4 Co 0.0000 0.5000 0.6510 [2 per cell]  3 Si 2.25-2.43, 2 Ga 2.43
5 Co 0.5000 0.5000 0.0000 [1 per cell]  4 Si 2.27
6 Si 0.0000 0.5000 0.8761 [2 per cell]  5 Co 2.25-2.27
7 Si 0.5000 0.5000 0.5000 [1 per cell]  4 Co 2.43, 4 Ga 2.69

(11)
This record from the Alexandria database describes a geometry-optimized CaSiB2Pt structure. The functional is GGA-PBE.

Values from the calculation:
crystal system: tetragonal
DFT total energy: -4.891 eV per atom

Lattice parameters (Å, degrees): 4.0930 4.0930 5.5059 90.00 90.00 90.00
With the nearest neighbours (Å) after each atom.
Space group P4/mmm (No. 123)
One atom of each set of equivalent atoms:
1 Ca 0.0000 0.0000 0.0000 [1 per cell]  4 Si 2.89
2 Si 0.5000 0.5000 0.0000 [1 per cell]  2 Pt 2.75, 4 Ca 2.89
3 B 0.0000 0.5000 0.5000 [2 per cell]  2 Pt 2.05
4 Pt 0.5000 0.5000 0.5000 [1 per cell]  4 B 2.05

(12)
This record from the Alexandria database describes a geometry-optimized NaGe3Ir structure. The functional is GGA-PBE.

Values from the calculation:
excess energy over the best structure of this formula in the dataset: 1.7338 eV per atom
ΔE_f: 7.902 eV/f.u.
crystal system: cubic

Lattice parameters (Å, degrees): 4.7738 4.7738 4.7738 90.00 90.00 90.00
With the nearest neighbours (Å) after each atom.
Space group Pm-3m (No. 221)
One atom of each set of equivalent atoms:
1 Na 0.0000 0.0000 0.0000 [1 per cell]  6 Ge 2.39
2 Ge 0.0000 0.0000 0.5000 [3 per cell]  2 Na 2.39
3 Ir 0.5000 0.5000 0.5000 [1 per cell]  12 Ge 3.38